First-principles (PBE) data for a relaxed Ac2BePdPt6 crystal, as listed in the Alexandria database.

Values from the calculation:
Formation energy (meV per atom): -772
Magnetic moment (μB per cell): 0.000
Theoretical density (g/cm³): 13.942

Unit cell a=5.472 b=6.480 c=7.009 alpha=77.35 beta=67.04 gamma=65.16
Space group P-1 (No. 2)
One atom of each set of equivalent atoms:
1 Ac 0.235 0.225 0.305
2 Be 0.000 0.000 0.000
3 Pd 0.500 0.500 0.500
4 Pt 0.243 0.234 0.776
5 Pt 0.244 0.610 0.900
6 Pt 0.255 0.765 0.223

---

First-principles (PBE) data for a relaxed Pr3Sm6Dy2Pb crystal, as listed in the Alexandria database.

Values from the calculation:
Formation energy (meV per atom): -45
Magnetic moment (μB per cell): 0.001
Theoretical density (g/cm³): 7.774

Unit cell a=6.253 b=10.858 c=11.877 alpha=90.00 beta=100.31 gamma=90.00
Space group C2/m (No. 12)
One atom of each set of equivalent atoms:
1 Pr 0.000 0.000 0.000
2 Pr 0.000 0.330 0.000
3 Sm 0.243 0.337 0.743
4 Sm 0.245 0.500 0.254
5 Dy 0.000 0.165 0.500
6 Pb 0.000 0.500 0.500

---

First-principles (PBE) data for a relaxed Al2SiI2 crystal, as listed in the Alexandria database.

Values from the calculation:
Magnetic moment (μB per cell): 0.000
Polymorph energy (0 for the lowest one) (meV/atom): 75
Theoretical density (g/cm³): 3.959
Uncorrected formation energy (eV/atom): 0.36

Unit cell a=6.054 b=6.054 c=7.687 alpha=90.00 beta=90.00 gamma=90.00
Space group I4/mmm (No. 139)
One atom of each set of equivalent atoms:
1 Al 0.000 0.000 0.176
2 Si 0.000 0.000 0.500
3 I 0.000 0.500 0.250

---

First-principles (PBE) data for a relaxed NaSr2Pr crystal, as listed in the Alexandria database.

Values from the calculation:
Formation energy (meV per atom): 111
Magnetic moment (μB per cell): 0.827
Polymorph energy (0 for the lowest one) (meV/atom): 18
Theoretical density (g/cm³): 3.130

Unit cell a=4.0178 b=4.0178 c=38.6143 alpha=90.00 beta=90.00 gamma=120.00
Space group R3m (No. 160, hexagonal axes)
One atom of each set of equivalent atoms:
1 Na 0.0000 0.0000 0.0000
2 Sr 0.0000 0.0000 0.4187
3 Sr 0.0000 0.0000 0.5815
4 Pr 0.0000 0.0000 0.8335

---

First-principles (PBE) data for a relaxed YHgRh2 crystal, as listed in the Alexandria database.

Values from the calculation:
Formation energy (meV per atom): -391
Magnetic moment (μB per cell): 0.017
Theoretical density (g/cm³): 11.101

Unit cell a=4.055 b=4.066 c=8.988 alpha=90.00 beta=90.00 gamma=90.00
Space group Imm2 (No. 44)
One atom of each set of equivalent atoms:
1 Y 0.000 0.000 0.000
2 Hg 0.000 0.500 0.750
3 Rh 0.000 0.000 0.500
4 Rh 0.000 0.500 0.250

---

First-principles (PBE) data for a relaxed ErThBeN3 crystal, as listed in the Alexandria database.

Values from the calculation:
Magnetic moment (μB per cell): 0.000
Theoretical density (g/cm³): 9.131
Uncorrected formation energy (eV/atom): -1.44

Unit cell a=6.885 b=3.362 c=7.204 alpha=90.00 beta=100.87 gamma=90.00
Space group P2_1/m (No. 11)
One atom of each set of equivalent atoms:
1 Er 0.182 0.250 0.154
2 Th 0.215 0.250 0.680
3 Be 0.397 0.750 0.424
4 N 0.144 0.750 0.384
5 N 0.168 0.750 0.908
6 N 0.493 0.250 0.345

---

First-principles (PBE) data for a relaxed KNaMg2Si crystal, as listed in the Alexandria database.

Values from the calculation:
Magnetic moment (μB per cell): 0.000
Theoretical density (g/cm³): 1.336
Uncorrected formation energy (eV/atom): 0.22

Unit cell a=5.166 b=5.166 c=6.463 alpha=90.00 beta=90.00 gamma=90.00
Space group P4/mmm (No. 123)
One atom of each set of equivalent atoms:
1 K 0.000 0.000 0.000
2 Na 0.500 0.500 0.000
3 Mg 0.000 0.500 0.500
4 Si 0.000 0.000 0.500

---

First-principles (PBE) data for a relaxed BaY3Pb crystal, as listed in the Alexandria database.

Values from the calculation:
Formation energy (meV per atom): 196
Magnetic moment (μB per cell): 0.000
Polymorph energy (0 for the lowest one) (meV/atom): 0
Theoretical density (g/cm³): 4.798

Unit cell a=5.958 b=5.958 c=5.958 alpha=90.00 beta=90.00 gamma=90.00
Space group Pm-3m (No. 221)
One atom of each set of equivalent atoms:
1 Ba 0.000 0.000 0.000
2 Y 0.000 0.500 0.500
3 Pb 0.500 0.500 0.500